Compound: MgCdBr2
Source: Alexandria
Functional: meta-GGA SCAN
Structure: single point on PBEsol structure

Unit cell a=3.7363 b=6.4318 c=10.2185 alpha=90.00 beta=90.00 gamma=90.00
Space group Cmmm (No. 65)
Asymmetric unit:
Mg 0.0000 0.0000 0.0000 [2 per cell]
Cd 0.0000 0.0000 0.5000 [2 per cell]
Br 0.0000 0.5000 0.1709 [4 per cell]

Its uncorrected formation energy is -83.16 kJ per mole of atoms. The value obtained for the energy relative to the lowest polymorph listed for this composition is 0.00 kcal/mol of atoms. The density comes out at 4.010 g cm⁻³. The total DFT energy (no corrections) comes out at -19.44 eV/atom.


Compound: Mg2CdBr
Source: Alexandria
Functional: meta-GGA SCAN
Structure: single point on PBEsol structure

Unit cell a=7.9086 b=7.3171 c=3.2112 alpha=90.00 beta=97.16 gamma=90.00
Space group C2/m (No. 12)
Asymmetric unit:
Mg 0.2500 0.2500 0.0000 [4 per cell]
Cd 0.0000 0.0000 0.5000 [2 per cell]
Br 0.0000 0.5000 0.5000 [2 per cell]

Its uncorrected formation energy is -24.10 kJ per mole of atoms. The value obtained for the energy relative to the lowest polymorph listed for this composition is 2.09 kcal/mol of atoms. The density comes out at 4.340 g cm⁻³. The total DFT energy (no corrections) comes out at -15.21 eV/atom.


Compound: MgCdSeBr2
Source: Alexandria
Functional: meta-GGA SCAN
Structure: single point on PBEsol structure

Unit cell a=4.9840 b=4.9840 c=5.3660 alpha=90.00 beta=90.00 gamma=90.00
Space group P4/mmm (No. 123)
Asymmetric unit:
Mg 0.0000 0.0000 0.0000 [1 per cell]
Cd 0.5000 0.5000 0.5000 [1 per cell]
Se 0.0000 0.0000 0.5000 [1 per cell]
Br 0.0000 0.5000 0.0000 [2 per cell]

Its uncorrected formation energy is -57.97 kJ per mole of atoms. The density comes out at 4.678 g cm⁻³. The total DFT energy (no corrections) comes out at -19.48 eV/atom.


Compound: MgCd2TeBr
Source: Alexandria
Functional: meta-GGA SCAN
Structure: single point on PBEsol structure

Unit cell a=5.5813 b=5.5813 c=5.1703 alpha=90.00 beta=90.00 gamma=90.00
Space group P4/mmm (No. 123)
Asymmetric unit:
Mg 0.0000 0.0000 0.0000 [1 per cell]
Cd 0.0000 0.5000 0.0000 [2 per cell]
Te 0.0000 0.0000 0.5000 [1 per cell]
Br 0.5000 0.5000 0.5000 [1 per cell]

Its uncorrected formation energy is 9.54 kJ per mole of atoms. The density comes out at 4.708 g cm⁻³. The total DFT energy (no corrections) comes out at -24.40 eV/atom.


Compound: MnCdSeBr2
Source: Alexandria
Functional: meta-GGA SCAN
Structure: single point on PBEsol structure

Unit cell a=4.9060 b=4.9060 c=5.0881 alpha=90.00 beta=90.00 gamma=90.00
Space group P4/mmm (No. 123)
Asymmetric unit:
Mn 0.0000 0.0000 0.0000 [1 per cell]
Cd 0.5000 0.5000 0.5000 [1 per cell]
Se 0.0000 0.0000 0.5000 [1 per cell]
Br 0.0000 0.5000 0.0000 [2 per cell]

Its uncorrected formation energy is -39.91 kJ per mole of atoms. The value obtained for the energy relative to the lowest polymorph listed for this composition is 0.00 kcal/mol of atoms. The density comes out at 5.507 g cm⁻³. The total DFT energy (no corrections) comes out at -21.95 eV/atom.


Compound: MnCdSeBr2
Source: Alexandria
Functional: meta-GGA SCAN
Structure: single point on PBEsol structure

Unit cell a=5.2043 b=5.2043 c=5.3442 alpha=90.00 beta=90.00 gamma=90.00
Space group P4/mmm (No. 123)
Asymmetric unit:
Mn 0.0000 0.0000 0.0000 [1 per cell]
Cd 0.5000 0.5000 0.5000 [1 per cell]
Se 0.5000 0.5000 0.0000 [1 per cell]
Br 0.0000 0.5000 0.5000 [2 per cell]

Its uncorrected formation energy is -8.01 kJ per mole of atoms. The value obtained for the energy relative to the lowest polymorph listed for this composition is 7.62 kcal/mol of atoms. The density comes out at 4.659 g cm⁻³. The total DFT energy (no corrections) comes out at -21.62 eV/atom.